# Li3Cr2As3O12 PBE with a Hubbard U relaxed
# E_tot, eV for the cell shown: -1018.8
data_Li3Cr2As3O12
_chemical_formula_sum 'Li24 Cr16 As24 O96'
_cell_length_a 12.140
_cell_length_b 12.140
_cell_length_c 12.140
_cell_angle_alpha 90.00
_cell_angle_beta 90.00
_cell_angle_gamma 90.00
_symmetry_space_group_name_H-M 'I a -3 d'
_symmetry_Int_Tables_number 230
_symmetry_space_group_name_Hall '-I 4bd 2c 3'
loop_
_atom_site_label
_atom_site_type_symbol
_atom_site_fract_x
_atom_site_fract_y
_atom_site_fract_z
Li1 Li 0.000 0.250 0.125
Cr1 Cr 0.000 0.000 0.000
As1 As 0.000 0.250 0.375
O1 O 0.034 0.051 0.654